# Cd2HgBr2

A geometry-optimized Cd2HgBr2 structure (PBE-GGA, Alexandria).

a = 5.2055 Å, b = 5.2055 Å, c = 11.2734 Å
α = 90.00°, β = 90.00°, γ = 90.00°
Closest atoms and distances in Å follow each position.
Positions (direct):
Cd: 0.0000 0.0000 0.1204  1 Cd 2.72, 4 Br 2.98
Cd: 0.0000 0.0000 0.8796  1 Cd 2.72, 4 Br 2.98
Cd: 0.5000 0.5000 0.3796  1 Cd 2.72, 4 Br 2.98
Cd: 0.5000 0.5000 0.6204  1 Cd 2.72, 4 Br 2.98
Hg: 0.0000 0.0000 0.5000  8 Br 3.84, 10 Cd 3.92-4.28
Hg: 0.5000 0.5000 0.0000  8 Br 3.84, 10 Cd 3.92-4.28
Br: 0.0000 0.5000 0.2500  4 Cd 2.98
Br: 0.0000 0.5000 0.7500  4 Cd 2.98
Br: 0.5000 0.0000 0.2500  4 Cd 2.98
Br: 0.5000 0.0000 0.7500  4 Cd 2.98

As for the uncorrected formation energy: -0.4318 eV/atom. The space-group type is I4/mmm. For the energy above the most stable polymorph in this dataset, the calculation gives 0.0 meV/atom. The final energy comes out at -1.527 eV per atom. As for the magnetic moment: 0.0 μB per formula unit.